(1)
# PuNbAl (GGA-PBE, optimized geometry)
data_PuNbAl
_chemical_formula_sum 'Pu1 Nb1 Al1'
_space_group_name_H-M_alt 'P 3 m 1'
_space_group_IT_number 156
_space_group_name_Hall 'P 3 -2"'
_cell_length_a 4.8776
_cell_length_b 4.8776
_cell_length_c 2.8608
_cell_angle_alpha 90.00
_cell_angle_beta 90.00
_cell_angle_gamma 120.00
loop_
_atom_site_label
_atom_site_fract_x
_atom_site_fract_y
_atom_site_fract_z
_atom_site_occupancy
Pu1 0.0000 0.0000 0.0000 1
Nb1 0.3333 0.6667 0.6699 1
Al1 0.6667 0.3333 0.4328 1
# Total moment in μB/atom: 1.719
# Mass density in g/cm3: 10.25
# Calculated formation energy in eV/f.u.: 0.209

(2)
# Ce3Ga3Cu2 (GGA-PBE, optimized geometry)
data_Ce3Ga3Cu2
_chemical_formula_sum 'Ce12 Ga12 Cu8'
_space_group_name_H-M_alt 'C m c m'
_space_group_IT_number 63
_space_group_name_Hall '-C 2c 2'
_cell_length_a 4.4503
_cell_length_b 10.2897
_cell_length_c 14.7692
_cell_angle_alpha 90.00
_cell_angle_beta 90.00
_cell_angle_gamma 90.00
loop_
_atom_site_label
_atom_site_fract_x
_atom_site_fract_y
_atom_site_fract_z
_atom_site_occupancy
Ce1 0.0000 0.1011 0.1083 1
Ce2 0.0000 0.3714 0.2500 1
Ga1 0.0000 0.3318 0.7500 1
Ga2 0.0000 0.3869 0.0393 1
Cu1 0.0000 0.2002 0.5975 1
# Total moment in μB/atom: 0.206
# Mass density in g/cm3: 7.43
# Calculated formation energy in eV/f.u.: -3.404

(3)
# In2MoSeBr (GGA-PBE, optimized geometry)
data_In2MoSeBr
_chemical_formula_sum 'In2 Mo1 Se1 Br1'
_space_group_name_H-M_alt 'P 4/m m m'
_space_group_IT_number 123
_space_group_name_Hall '-P 4 2'
_cell_length_a 5.9622
_cell_length_b 5.9622
_cell_length_c 5.0914
_cell_angle_alpha 90.00
_cell_angle_beta 90.00
_cell_angle_gamma 90.00
loop_
_atom_site_label
_atom_site_fract_x
_atom_site_fract_y
_atom_site_fract_z
_atom_site_occupancy
In1 0.0000 0.5000 0.0000 1
Mo1 0.0000 0.0000 0.5000 1
Se1 0.5000 0.5000 0.5000 1
Br1 0.0000 0.0000 0.0000 1
# Total moment in μB/atom: 0.998
# Mass density in g/cm3: 4.44
# Raw total energy in eV per atom: -3.382

(4)
# LaRhC2 (GGA-PBE, optimized geometry)
data_LaRhC2
_chemical_formula_sum 'La4 Rh4 C8'
_space_group_name_H-M_alt 'I -4 2 d'
_space_group_IT_number 122
_space_group_name_Hall 'I -4 2bw'
_cell_length_a 4.9664
_cell_length_b 4.9664
_cell_length_c 10.8483
_cell_angle_alpha 90.00
_cell_angle_beta 90.00
_cell_angle_gamma 90.00
loop_
_atom_site_label
_atom_site_fract_x
_atom_site_fract_y
_atom_site_fract_z
_atom_site_occupancy
La1 0.0000 0.0000 0.0000 1
Rh1 0.0000 0.0000 0.5000 1
C1 0.1419 0.2500 0.6250 1
# Total moment in μB/atom: 0.000
# Mass density in g/cm3: 6.60
# Calculated formation energy in eV/f.u.: 1.711

(5)
# ZrTi2ZnN (GGA-PBE, optimized geometry)
data_ZrTi2ZnN
_chemical_formula_sum 'Zr1 Ti2 Zn1 N1'
_space_group_name_H-M_alt 'P 4/m m m'
_space_group_IT_number 123
_space_group_name_Hall '-P 4 2'
_cell_length_a 4.1216
_cell_length_b 4.1216
_cell_length_c 4.4744
_cell_angle_alpha 90.00
_cell_angle_beta 90.00
_cell_angle_gamma 90.00
loop_
_atom_site_label
_atom_site_fract_x
_atom_site_fract_y
_atom_site_fract_z
_atom_site_occupancy
Zr1 0.0000 0.0000 0.0000 1
Ti1 0.0000 0.5000 0.5000 1
Zn1 0.5000 0.5000 0.0000 1
N1 0.0000 0.0000 0.5000 1
# Total moment in μB/atom: 0.016
# Mass density in g/cm3: 5.82
# Raw total energy in eV per atom: -7.639

(6)
# Rb2WN (GGA-PBE, optimized geometry)
data_Rb2WN
_chemical_formula_sum 'Rb8 W4 N4'
_space_group_name_H-M_alt 'I -4 2 d'
_space_group_IT_number 122
_space_group_name_Hall 'I -4 2bw'
_cell_length_a 12.7345
_cell_length_b 12.7345
_cell_length_c 3.9264
_cell_angle_alpha 90.00
_cell_angle_beta 90.00
_cell_angle_gamma 90.00
loop_
_atom_site_label
_atom_site_fract_x
_atom_site_fract_y
_atom_site_fract_z
_atom_site_occupancy
Rb1 0.0481 0.7500 0.1250 1
W1 0.0000 0.0000 0.5000 1
N1 0.0000 0.0000 0.0000 1
# Total moment in μB/atom: 0.488
# Mass density in g/cm3: 3.85
# Raw total energy in eV per atom: -5.202